# 1
6
Lattice="4.264 -1.510 7.094 8.103 -2.234 -0.358 5.959 5.365 2.549" Properties=species:S:1:pos:R:3 comment="PBE Zr2Pa, relaxed" final_energy_ev_per_atom=-5.99 formation_energy_ev_per_atom=2.878 pbc="T T T"
Zr 9.852 3.291 4.756
Zr 6.872 0.608 3.482
Zr 9.005 -0.147 7.029
Zr 10.924 -0.509 3.303
Pa 9.163 0.811 4.642
Pa 4.582 0.405 2.321

=====

# 2
12
Lattice="5.531 0.000 0.000 0.000 9.620 0.000 0.000 0.000 5.481" Properties=species:S:1:pos:R:3 comment="PBE ZrPa, relaxed" final_energy_ev_per_atom=-8.93 formation_energy_ev_per_atom=0.090 pbc="T T T"
Zr 2.803 7.940 0.000
Zr 1.814 3.245 2.740
Zr 4.579 7.979 2.740
Zr 5.513 6.494 0.000
Zr 2.747 4.731 0.000
Zr 0.038 3.283 0.000
Pa 1.827 9.595 2.740
Pa 4.600 4.835 2.740
Pa 0.037 0.061 0.000
Pa 1.835 6.389 2.740
Pa 4.592 1.629 2.740
Pa 2.803 1.542 0.000

=====

# 3
2
Lattice="2.754 -1.590 0.000 0.000 3.180 0.000 0.000 0.000 5.529" Properties=species:S:1:pos:R:3 comment="PBE ZrPa, relaxed" final_energy_ev_per_atom=-8.97 formation_energy_ev_per_atom=0.055 pbc="T T T"
Pa 0.000 0.000 0.000
Zr 1.836 0.000 2.765

=====

# 4
16
Lattice="-3.640 -8.845 5.286 5.275 -3.231 -1.775 2.545 1.663 4.536" Properties=species:S:1:pos:R:3 comment="PBE ZrPa, relaxed" final_energy_ev_per_atom=-8.97 formation_energy_ev_per_atom=0.054 pbc="T T T"
Pa 1.361 -8.725 2.436
Pa 0.607 -0.786 3.235
Pa 0.876 -5.894 1.670
Pa -1.269 -5.344 5.959
Pa -0.883 -8.414 6.868
Pa -0.887 -10.181 4.231
Pa 1.757 -10.031 5.980
Pa -1.274 -7.111 3.322
Zr 3.109 -4.405 -0.129
Zr -1.699 -4.129 2.468
Zr 1.362 -6.974 5.080
Zr 3.649 -5.506 3.259
Zr 3.183 -2.551 2.437
Zr -3.519 -8.551 5.110
Zr 0.522 -2.821 0.741
Zr 0.961 -3.860 4.163

=====

| no. | calculated volume (Å³ per atom) |
| --- | --- |
| 1 | 70.18 |
| 2 | 24.30 |
| 3 | 24.21 |
| 4 | 24.00 |